# 1
Density functional theory data (PBE) for crystalline ZrSiMo2 at its relaxed geometry.

Values from the calculation:
M_tot: 0.00 Bohr magnetons per cell
density of states at the Fermi level: 3.25 states/eV/cell
V: 16.44 Å³/atom
ΔE_f (raw): -97 meV per atom

a = 4.530 Å, b = 4.530 Å, c = 4.530 Å
α = 60.00°, β = 60.00°, γ = 60.00°
Positions (direct):
Zr 0.000 0.000 0.000
Si 0.750 0.750 0.750
Mo 0.250 0.250 0.250
Mo 0.500 0.500 0.500

---

# 2
Density functional theory data (PBE) for crystalline BaIr2PtPb at its relaxed geometry.

Values from the calculation:
M_tot: 0.00 Bohr magnetons per cell
density of states at the Fermi level: 2.23 states/eV/cell
V: 28.50 Å³/atom
formation enthalpy at 0 K: 1.99 eV/atom

a = 5.179 Å, b = 5.179 Å, c = 5.312 Å
α = 90.00°, β = 90.00°, γ = 90.00°
Positions (direct):
Ba 0.000 0.000 0.000
Ir 0.000 0.500 0.000
Ir 0.500 0.000 0.000
Pt 0.000 0.000 0.500
Pb 0.500 0.500 0.500

---

# 3
Density functional theory data (PBE) for crystalline ScInRhI2 at its relaxed geometry.

Values from the calculation:
M_tot: 0.67 Bohr magnetons per cell
density of states at the Fermi level: 3.18 states/eV/cell
V: 30.25 Å³/atom
ΔE_f (raw): -28 meV per atom

a = 5.536 Å, b = 5.536 Å, c = 4.935 Å
α = 90.00°, β = 90.00°, γ = 90.00°
Positions (direct):
Sc 0.000 0.000 0.000
In 0.500 0.500 0.000
Rh 0.000 0.000 0.500
I 0.000 0.500 0.500
I 0.500 0.000 0.500